Compound: KYBe2W
Source: Alexandria via LeMat-Bulk
Functional: PBE
Structure: relaxed

Properties
formation energy from the elements: 2.2947 eV per atom
Fermi-level density of states: 4.47 states/eV/cell
symmetry: P4/mmm, No. 123
mass density: 5.213 g cm⁻³

Structure (CIF):
```
data_KYBe2W
_chemical_formula_sum 'K1 Y1 Be2 W1'
_cell_length_a 4.6551
_cell_length_b 4.8487
_cell_length_c 4.6551
_cell_angle_alpha 90.00
_cell_angle_beta 90.00
_cell_angle_gamma 90.00
_space_group_name_H-M_alt 'P 1'
_space_group_IT_number 1
_space_group_name_Hall 'P 1'
loop_
_atom_site_label
_atom_site_fract_x
_atom_site_fract_y
_atom_site_fract_z
Be1 0.5000 0.0000 0.0000
Be2 0.0000 0.0000 0.5000
W1 0.0000 0.5000 0.0000
K1 0.0000 0.0000 0.0000
Y1 0.5000 0.5000 0.5000
```